# GGA-PBE RbNa2NbBr8, optimized geometry
# - ΔE_f (raw): -1.18 eV per atom
# - Uncorrected energy: -3.4398 eV/atom
data_RbNa2NbBr8
_chemical_formula_sum 'Rb1 Na2 Nb1 Br8'
_symmetry_space_group_name_H-M 'P -1'
_symmetry_Int_Tables_number 2
_cell_length_a 6.1455
_cell_length_b 7.9570
_cell_length_c 10.6477
_cell_angle_alpha 68.74
_cell_angle_beta 77.97
_cell_angle_gamma 87.11
loop_
_symmetry_equiv_pos_as_xyz
'x,y,z'
'-x,-y,-z'
loop_
_atom_site_label
_atom_site_fract_x
_atom_site_fract_y
_atom_site_fract_z
_atom_site_occupancy
Rb1 0.0000 0.0000 0.0000 1
Na1 0.4301 0.4688 0.1850 1
Nb1 0.0000 0.5000 0.5000 1
Br1 0.1225 0.4887 0.7220 1
Br2 0.2570 0.2444 0.4833 1
Br3 0.3005 0.7325 0.3508 1
Br4 0.4866 0.2175 0.0533 1